a:
VASP calculation (PBE) on a geometry-optimized ZrCoSiIr structure.

Cell: 4.3821 4.3821 4.3821 Å, 60.00 60.00 60.00°
Last column: magnetic moment on the atom in μB.
Positions (direct):
Co 0.7500 0.7500 0.7500  1.53
Ir 0.2500 0.2500 0.2500  0.35
Si 0.0000 0.0000 0.0000  0.05
Zr 0.5000 0.5000 0.5000  0.04

***

b:
VASP calculation (PBE) on a geometry-optimized ZrCoSiIr structure.

Cell: 4.4291 4.4291 4.4291 Å, 60.00 60.00 60.00°
Last column: magnetic moment on the atom in μB.
Positions (direct):
Co 0.7500 0.7500 0.7500  1.63
Ir 0.5000 0.5000 0.5000  0.26
Si 0.0000 0.0000 0.0000  0.00
Zr 0.2500 0.2500 0.2500  0.08

***

Energies in meV/atom, measured from the most stable structure: a 0; b 377.

***

a:
VASP calculation (PBE) on a geometry-optimized CoSnIrW structure.

Cell: 4.4460 4.4460 4.4460 Å, 60.00 60.00 60.00°
Last column: magnetic moment on the atom in μB.
Positions (direct):
Co 0.7500 0.7500 0.7500  1.08
Ir 0.2500 0.2500 0.2500  0.03
Sn 0.0000 0.0000 0.0000  0.01
W 0.5000 0.5000 0.5000  0.12

***

b:
VASP calculation (PBE) on a geometry-optimized CoSnIrW structure.

Cell: 4.4268 4.4268 4.4268 Å, 60.00 60.00 60.00°
Positions (direct):
Co 0.7500 0.7500 0.7500
Ir 0.5000 0.5000 0.5000
Sn 0.0000 0.0000 0.0000
W 0.2500 0.2500 0.2500

***

Energies in meV/atom, measured from the most stable structure: a 0; b 38.

***

a:
VASP calculation (PBE) on a geometry-optimized YCoSnIr structure.

Cell: 4.6586 4.6586 4.6586 Å, 60.00 60.00 60.00°
Last column: magnetic moment on the atom in μB.
Positions (direct):
Co 0.7500 0.7500 0.7500  1.05
Ir 0.2500 0.2500 0.2500  0.15
Sn 0.0000 0.0000 0.0000  -0.02
Y 0.5000 0.5000 0.5000  -0.08

***

b:
VASP calculation (PBE) on a geometry-optimized YCoSnIr structure.

Cell: 4.7055 4.7055 4.7055 Å, 60.00 60.00 60.00°
Positions (direct):
Co 0.7500 0.7500 0.7500
Ir 0.5000 0.5000 0.5000
Sn 0.0000 0.0000 0.0000
Y 0.2500 0.2500 0.2500

***

Energies in meV/atom, measured from the most stable structure: a 0; b 436.

***

a:
VASP calculation (PBE) on a geometry-optimized ZrCoSnIr structure.

Cell: 4.6058 4.6058 4.6058 Å, 60.00 60.00 60.00°
Positions (direct):
Co 0.7500 0.7500 0.7500
Ir 0.5000 0.5000 0.5000
Sn 0.0000 0.0000 0.0000
Zr 0.2500 0.2500 0.2500

***

b:
VASP calculation (PBE) on a geometry-optimized ZrCoSnIr structure.

Cell: 4.5693 4.5693 4.5693 Å, 60.00 60.00 60.00°
Last column: magnetic moment on the atom in μB.
Positions (direct):
Co 0.7500 0.7500 0.7500  1.55
Ir 0.2500 0.2500 0.2500  0.35
Sn 0.0000 0.0000 0.0000  0.04
Zr 0.5000 0.5000 0.5000  0.05

***

Energies in meV/atom, measured from the most stable structure: a 454; b 0.